Record 1
The following is a DFT calculation (GGA+U) of an optimized crystal structure of KHfVO5.

CIF file:
```
data_KHfVO5
_cell_length_a 6.022
_cell_length_b 6.022
_cell_length_c 7.714
_cell_angle_alpha 104.87
_cell_angle_beta 104.87
_cell_angle_gamma 105.11
_symmetry_space_group_name_H-M 'P 1'
_symmetry_Int_Tables_number 1
_symmetry_space_group_name_Hall 'P 1'
loop_
_atom_site_label
_atom_site_fract_x
_atom_site_fract_y
_atom_site_fract_z
_atom_site_occupancy
Hf1 0.000 0.000 0.000 1
Hf2 0.000 0.000 0.500 1
K1 0.327 0.673 0.250 1
K2 0.673 0.327 0.750 1
O1 0.770 0.620 0.395 1
O2 0.874 0.289 0.113 1
O3 0.058 0.942 0.250 1
O4 0.711 0.126 0.387 1
O5 0.230 0.380 0.605 1
O6 0.942 0.058 0.750 1
O7 0.289 0.874 0.613 1
O8 0.126 0.711 0.887 1
O9 0.380 0.230 0.105 1
O10 0.620 0.770 0.895 1
V1 0.684 0.316 0.250 1
V2 0.316 0.684 0.750 1
```

For the magnetization, the calculation gives 0.0 μB per cell. The total energy is -7.976 eV/atom. The space-group type is C2/c, No. 15.


Record 2
The following is a DFT calculation (GGA+U) of an optimized crystal structure of KHf2V2O7.

CIF file:
```
data_KHf2V2O7
_cell_length_a 4.169
_cell_length_b 4.169
_cell_length_c 9.368
_cell_angle_alpha 102.86
_cell_angle_beta 102.86
_cell_angle_gamma 90.00
_symmetry_space_group_name_H-M 'P 1'
_symmetry_Int_Tables_number 1
_symmetry_space_group_name_Hall 'P 1'
loop_
_atom_site_label
_atom_site_fract_x
_atom_site_fract_y
_atom_site_fract_z
_atom_site_occupancy
Hf1 0.387 0.387 0.774 1
Hf2 0.613 0.613 0.226 1
O1 0.129 0.629 0.259 1
O2 0.500 0.500 0.000 1
O3 0.871 0.371 0.741 1
O4 0.739 0.739 0.477 1
O5 0.261 0.261 0.523 1
O6 0.629 0.129 0.258 1
O7 0.371 0.871 0.742 1
V1 0.250 0.750 0.500 1
V2 0.750 0.250 0.500 1
K1 0.000 0.000 0.000 1
```

For the magnetization, the calculation gives 5.0 μB per cell. The total energy is -8.559 eV/atom. The space-group type is I4/mmm, No. 139.